(1)
First-principles (GGA-PBEsol) data for a geometry-optimized Tc2IrI structure, as listed in Alexandria.

Cell: 4.4626 4.4626 4.4626 Å, 60.00 60.00 60.00°
With the nearest neighbours (Å) after each atom.
Sites, in units of the cell vectors:
I  0.0000  0.0000  0.0000  8 Tc 2.73
Ir  0.5000  0.5000  0.5000  8 Tc 2.73
Tc  0.2500  0.2500  0.2500  4 Ir 2.73, 4 I 2.73
Tc  0.7500  0.7500  0.7500  4 Ir 2.73, 4 I 2.73

Computed properties:
Crystal system: cubic

***

(2)
First-principles (GGA-PBEsol) data for a geometry-optimized TcIr3I structure, as listed in Alexandria.

Cell: 4.6907 4.6907 4.6907 Å, 90.00 90.00 90.00°
With the nearest neighbours (Å) after each atom.
Sites, in units of the cell vectors:
I  0.5000  0.5000  0.5000  12 Ir 3.32
Ir  0.0000  0.5000  0.0000  2 Tc 2.35
Ir  0.0000  0.0000  0.5000  2 Tc 2.35
Ir  0.5000  0.0000  0.0000  2 Tc 2.35
Tc  0.0000  0.0000  0.0000  6 Ir 2.35

Computed properties:
Crystal system: cubic

***

Record order is preserved below.
D(E_F): 4.113; 6.661 states/eV per cell
Record order is preserved below.
Energy relative to the elements, uncorrected: 0.799; 1.854 eV/atom